Computed, not measured: a relaxed TiCrN3 crystal at the PBE-GGA level of DFT.

Values from the calculation:
* density of states at the Fermi level: 1.8786 states/eV per atom
* ΔE_f (raw): 4.67 eV per formula unit
* theoretical density: 4.19 g/cm3

abc: 3.831 3.831 3.831
angles: 90.00 90.00 90.00
Space group Pm-3m (No. 221)
Unique sites:
Ti  0.000  0.000  0.000
Cr  0.500  0.500  0.500
N  0.000  0.000  0.500